[1]
Here is a geometry-optimized ZnInGa5 structure from Alexandria. Energies are from PBE.

## Properties
* energy above the lowest structure with this stoichiometry: 0.029 eV/atom
* SG: P4/mmm (123)
* DOS at the Fermi energy: 3.55 states/eV per cell

```
data_ZnInGa5
_cell_length_a 4.295
_cell_length_b 4.295
_cell_length_c 7.732
_cell_angle_alpha 90.00
_cell_angle_beta 90.00
_cell_angle_gamma 90.00
_space_group_name_H-M_alt 'P 1'
_space_group_IT_number 1
loop_
_space_group_symop_operation_xyz
'x,y,z'
loop_
_atom_site_label
_atom_site_type_symbol
_atom_site_fract_x
_atom_site_fract_y
_atom_site_fract_z
_atom_site_occupancy
Zn1 Zn 0.000 0.000 0.500 1
In1 In 0.000 0.000 0.000 1
Ga1 Ga 0.500 0.500 0.000 1
Ga2 Ga 0.500 0.000 0.292 1
Ga3 Ga 0.000 0.500 0.292 1
Ga4 Ga 0.500 0.000 0.708 1
Ga5 Ga 0.000 0.500 0.708 1
```

[2]
Here is a geometry-optimized Sm2Co3NiP4 structure from Alexandria. Energies are from PBE.

## Properties
* uncorrected energy: -68.11 eV per formula unit
* SG: P-4m2 (115)
* DOS at the Fermi energy: 5.03 states/eV per cell

```
data_Sm2Co3NiP4
_cell_length_a 3.974
_cell_length_b 3.974
_cell_length_c 9.161
_cell_angle_alpha 90.00
_cell_angle_beta 90.00
_cell_angle_gamma 90.00
_space_group_name_H-M_alt 'P 1'
_space_group_IT_number 1
loop_
_space_group_symop_operation_xyz
'x,y,z'
loop_
_atom_site_label
_atom_site_type_symbol
_atom_site_fract_x
_atom_site_fract_y
_atom_site_fract_z
_atom_site_occupancy
Sm1 Sm 0.500 0.000 0.245 1
Sm2 Sm 0.000 0.500 0.755 1
Co1 Co 0.000 0.000 0.500 1
Co2 Co 0.500 0.000 0.889 1
Co3 Co 0.000 0.500 0.111 1
Ni1 Ni 0.500 0.500 0.500 1
P1 P 0.500 0.500 0.000 1
P2 P 0.000 0.000 0.000 1
P3 P 0.500 0.000 0.637 1
P4 P 0.000 0.500 0.363 1
```

[3]
Here is a geometry-optimized Al2SiAs structure from Alexandria. Energies are from PBE.

## Properties
* E_form (uncorrected): 1.3 eV per formula unit
* energy above the lowest structure with this stoichiometry: 0.333 eV/atom
* SG: F-43m (216)
* DOS at the Fermi energy: 2.56 states/eV per cell

```
data_Al2SiAs
_cell_length_a 4.599
_cell_length_b 4.599
_cell_length_c 4.599
_cell_angle_alpha 60.00
_cell_angle_beta 60.00
_cell_angle_gamma 60.00
_space_group_name_H-M_alt 'P 1'
_space_group_IT_number 1
loop_
_space_group_symop_operation_xyz
'x,y,z'
loop_
_atom_site_label
_atom_site_type_symbol
_atom_site_fract_x
_atom_site_fract_y
_atom_site_fract_z
_atom_site_occupancy
As1 As 0.500 0.500 0.500 1
Si1 Si 0.750 0.750 0.750 1
Al1 Al 0.000 0.000 0.000 1
Al2 Al 0.250 0.250 0.250 1
```